Material: Ba2InBiP
Method: DFT, PBE
State: relaxed

Computed properties:
Relative energy among the computed polymorphs in meV per atom: 152.0

a b c (Å): 6.2116 6.2116 5.1478
angles (deg): 90.00 90.00 90.00
Space group P4/mmm (No. 123)
One atom of each set of equivalent atoms:
Ba1 0.0000 0.5000 0.0000 [2 per cell]
In1 0.0000 0.0000 0.5000 [1 per cell]
Bi1 0.5000 0.5000 0.5000 [1 per cell]
P1 0.0000 0.0000 0.0000 [1 per cell]

=====

Material: CdIr2Ru
Method: DFT, PBE
State: relaxed

a b c (Å): 2.8277 4.7117 4.7451
angles (deg): 90.00 90.00 90.00
Space group Pmmm (No. 47)
One atom of each set of equivalent atoms:
Cd1 0.0000 0.0000 0.0000 [1 per cell]
Ir1 0.0000 0.5000 0.5000 [1 per cell]
Ir2 0.5000 0.5000 0.0000 [1 per cell]
Ru1 0.5000 0.0000 0.5000 [1 per cell]

=====

Ordered uncorrected energy results: -0.138, -0.240; unit hartree per atom.